Record 1
A relaxed ZrZnI2O crystal. Source: Alexandria via LeMat-Bulk, functional PBE.

## Properties
**Formation energy (no corrections)**: -1014 meV/atom
**Mass density**: 4.98 g/cm3
**Polymorph energy (0 for the lowest one)**: 0.000 eV/atom

Unit cell a=5.9347 b=5.9347 c=4.0356 alpha=90.00 beta=90.00 gamma=90.00
Closest atoms and distances in Å follow each position.
Space group P4/mmm (No. 123)
Inequivalent atoms, fractional coordinates:
Zr 0.0000 0.0000 0.0000 (multiplicity 1)  2 O 2.02
Zn 0.5000 0.5000 0.5000 (multiplicity 1)  8 I 3.59
I 0.0000 0.5000 0.0000 (multiplicity 2)  2 Zr 2.97
O 0.0000 0.0000 0.5000 (multiplicity 1)  2 Zr 2.02



Record 2
A relaxed Zr3IO crystal. Source: Alexandria via LeMat-Bulk, functional PBE.

## Properties
**Formation energy (no corrections)**: -698 meV/atom
**Mass density**: 7.39 g/cm3
**Polymorph energy (0 for the lowest one)**: 0.000 eV/atom

Unit cell a=4.5404 b=4.5404 c=4.5404 alpha=90.00 beta=90.00 gamma=90.00
Closest atoms and distances in Å follow each position.
Space group Pm-3m (No. 221)
Inequivalent atoms, fractional coordinates:
Zr 0.0000 0.0000 0.5000 (multiplicity 3)  2 O 2.27
I 0.5000 0.5000 0.5000 (multiplicity 1)  12 Zr 3.21
O 0.0000 0.0000 0.0000 (multiplicity 1)  6 Zr 2.27



Record 3
A relaxed ZrI2O8 crystal. Source: Alexandria via LeMat-Bulk, functional PBE.

## Properties
**Formation energy (no corrections)**: -806 meV/atom
**Mass density**: 3.89 g/cm3

Unit cell a=6.1776 b=6.1776 c=6.1113 alpha=90.00 beta=90.00 gamma=120.00
Closest atoms and distances in Å follow each position.
Space group P-3m1 (No. 164)
Inequivalent atoms, fractional coordinates:
Zr 0.0000 0.0000 0.0000 (multiplicity 1)  6 O 2.11
I 0.3333 0.6667 0.7323 (multiplicity 2)  4 O 1.77-1.91
O 0.1581 0.3161 0.7948 (multiplicity 6)  1 I 1.91, 1 Zr 2.11
O 0.3333 0.6667 0.4421 (multiplicity 2)  1 I 1.77



Record 4
A relaxed ZrI4O12 crystal. Source: Alexandria via LeMat-Bulk, functional PBE.

## Properties
**Formation energy (no corrections)**: -825 meV/atom
**Mass density**: 4.80 g/cm3

Unit cell a=8.5224 b=8.5224 c=7.5356 alpha=90.00 beta=90.00 gamma=90.00
Closest atoms and distances in Å follow each position.
Space group P4/n (No. 85, origin choice 2)
Inequivalent atoms, fractional coordinates:
Zr 0.2500 0.2500 0.0540 (multiplicity 2)  8 O 2.22-2.24
I 0.0041 0.0285 0.7274 (multiplicity 8)  3 O 1.83-1.88
O 0.0056 0.6506 0.4461 (multiplicity 8)  1 I 1.83
O 0.0430 0.1776 0.2171 (multiplicity 8)  1 I 1.85
O 0.0455 0.3387 0.9008 (multiplicity 8)  1 I 1.88



Record 5
A relaxed Zr2IO crystal. Source: Alexandria via LeMat-Bulk, functional PBE.

## Properties
**Formation energy (no corrections)**: -955 meV/atom
**Mass density**: 5.75 g/cm3
**Polymorph energy (0 for the lowest one)**: 0.000 eV/atom

Unit cell a=5.6410 b=5.6410 c=11.8135 alpha=90.00 beta=90.00 gamma=90.00
Closest atoms and distances in Å follow each position.
Space group I-42d (No. 122)
Inequivalent atoms, fractional coordinates:
Zr 0.1184 0.2500 0.1250 (multiplicity 8)  2 O 2.15
I 0.0000 0.0000 0.5000 (multiplicity 4)  4 Zr 2.97
O 0.0000 0.0000 0.0000 (multiplicity 4)  4 Zr 2.15



Record 6
A relaxed Zr2IO crystal. Source: Alexandria via LeMat-Bulk, functional PBE.

## Properties
**Formation energy (no corrections)**: -356 meV/atom
**Mass density**: 7.34 g/cm3
**Polymorph energy (0 for the lowest one)**: 0.599 eV/atom

Unit cell a=6.6541 b=6.6541 c=6.6541 alpha=90.00 beta=90.00 gamma=90.00
Closest atoms and distances in Å follow each position.
Space group Fm-3m (No. 225)
Inequivalent atoms, fractional coordinates:
Zr 0.2500 0.2500 0.2500 (multiplicity 8)  4 I 2.88, 4 O 2.88
I 0.0000 0.0000 0.0000 (multiplicity 4)  8 Zr 2.88
O 0.0000 0.0000 0.5000 (multiplicity 4)  8 Zr 2.88